Density functional theory data (GGA+U) for a relaxed NbCrFe2O6 crystal.

Cell and atoms, written as POSCAR:
```
NbCrFe2O6
1.0
-1.466 -3.904 -3.229
3.586 -3.288 -1.983
0.200 -5.281 1.922
Nb Cr Fe O
1 1 2 6
direct
0.321 0.318 0.051 Nb
0.821 0.817 0.543 Cr
0.521 0.523 0.436 Fe
0.019 0.039 0.912 Fe
0.590 0.196 0.264 O
0.206 0.941 0.267 O
0.951 0.596 0.256 O
0.446 0.697 0.763 O
0.698 0.095 0.756 O
0.090 0.439 0.768 O
```

Results
The crystal system is triclinic. As for the total energy: -7.786 eV per atom. For the magnetic moment, the calculation gives 5.0 Bohr magnetons per cell.